(1)
A plane-wave DFT calculation with PBE was carried out for an optimized crystal structure of Na2YRu.

For the formation energy, the calculation gives 0.406 eV per atom. The value obtained for the distance to the lowest polymorph of the same formula is 0 meV/atom.

It has space group I-42d (No. 122), with a = 3.991 Å, b = 3.991 Å, c = 24.014 Å, α = 90.00°, β = 90.00° and γ = 90.00°. The distinct sites, in fractional coordinates, are Na at (0.226, 0.250, 0.125), Y at (0.000, 0.000, 0.500) and Ru at (0.000, 0.000, 0.000).

=====

(2)
A plane-wave DFT calculation with PBE was carried out for an optimized crystal structure of Mg2BeZn2.

For the formation energy, the calculation gives 0.103 eV per atom. The value obtained for the distance to the lowest polymorph of the same formula is 0 meV/atom.

It has space group P4/mbm (No. 127), with a = 6.222 Å, b = 6.222 Å, c = 4.312 Å, α = 90.00°, β = 90.00° and γ = 90.00°. The distinct sites, in fractional coordinates, are Mg at (0.170, 0.330, 0.000), Be at (0.000, 0.000, 0.500) and Zn at (0.147, 0.647, 0.500).

=====

(3)
A plane-wave DFT calculation with PBE was carried out for an optimized crystal structure of Tm5PaRh6.

For the formation energy, the calculation gives -0.923 eV per atom.

It has space group Cmmm (No. 65), with a = 4.792 Å, b = 14.311 Å, c = 6.895 Å, α = 90.00°, β = 90.00° and γ = 90.00°. The distinct sites, in fractional coordinates, are Tm at (0.000, 0.000, 0.000), Tm at (0.000, 0.329, 0.500), Tm at (0.000, 0.332, 0.000), Pa at (0.000, 0.000, 0.500), Rh at (0.000, 0.158, 0.256) and Rh at (0.000, 0.500, 0.263).

=====

(4)
A plane-wave DFT calculation with PBE was carried out for an optimized crystal structure of Rb2SmUTe4.

The calculation puts the uncorrected formation energy at -855 kJ/mol of formula units.

It has space group P2/m (No. 10), with a = 7.930 Å, b = 4.582 Å, c = 8.985 Å, α = 90.00°, β = 107.14° and γ = 90.00°. The distinct sites, in fractional coordinates, are Rb at (0.000, 0.000, 0.000), Rb at (0.500, 0.500, 0.000), Sm at (0.000, 0.500, 0.500), U at (0.500, 0.000, 0.500), Te at (0.236, 0.000, 0.704) and Te at (0.268, 0.500, 0.298).

=====

(5)
A plane-wave DFT calculation with PBE was carried out for an optimized crystal structure of KYMo2.

For the formation energy, the calculation gives 0.877 eV per atom. The value obtained for the distance to the lowest polymorph of the same formula is 344 meV/atom.

It has space group P2/m (No. 10), with a = 2.943 Å, b = 5.136 Å, c = 7.482 Å, α = 90.00°, β = 95.25° and γ = 90.00°. The distinct sites, in fractional coordinates, are K at (0.000, 0.000, 0.000), Y at (0.000, 0.000, 0.500) and Mo at (0.435, 0.500, 0.649).

=====

(6)
A plane-wave DFT calculation with PBE was carried out for an optimized crystal structure of YMnAl.

For the formation energy, the calculation gives -0.089 eV per atom.

It has space group I4mm (No. 107), with a = 3.292 Å, b = 3.292 Å, c = 10.918 Å, α = 90.00°, β = 90.00° and γ = 90.00°. The distinct sites, in fractional coordinates, are Y at (0.000, 0.000, 0.000), Mn at (0.000, 0.000, 0.320) and Al at (0.000, 0.000, 0.705).

=====

(7)
A plane-wave DFT calculation with PBE was carried out for an optimized crystal structure of YMgZrRh.

For the formation energy, the calculation gives -0.285 eV per atom.

It has space group F-43m (No. 216), with a = 6.961 Å, b = 6.961 Å, c = 6.961 Å, α = 90.00°, β = 90.00° and γ = 90.00°. The distinct sites, in fractional coordinates, are Y at (0.000, 0.000, 0.000), Mg at (0.250, 0.250, 0.250), Zr at (0.000, 0.000, 0.500) and Rh at (0.250, 0.250, 0.750).

=====

(8)
A plane-wave DFT calculation with PBE was carried out for an optimized crystal structure of CdBiS2I.

The calculation puts the uncorrected formation energy at -210 kJ/mol of formula units.

It has space group P2_1/m (No. 11), with a = 7.883 Å, b = 4.256 Å, c = 11.109 Å, α = 90.00°, β = 108.07° and γ = 90.00°. The distinct sites, in fractional coordinates, are Cd at (0.007, 0.250, 0.140), Bi at (0.466, 0.750, 0.335), S at (0.170, 0.750, 0.115), S at (0.307, 0.250, 0.407) and I at (0.240, 0.750, 0.719).

=====

For reference, electronic total energy by record: -16.8, -8.9, -87.0, -39.4, -25.7, -19.6, -25.1, -16.8 eV/f.u..
For reference, theoretical density by record: 4.10, 3.75, 11.89, 5.69, 4.72, 4.79, 6.05, 4.80 Mg/m³.
For reference, calculated volume by record: 23.90, 16.69, 19.70, 39.00, 28.15, 19.72, 21.08, 35.43 Å³/atom.